Computed, not measured: crystalline Li4Ti2Mn3Cu3O16 at its relaxed geometry at the PBE with a Hubbard U level of DFT.

Cell and atoms, written as extended XYZ:
```
28
Lattice="-2.7305 5.0774 0.9159 -2.2346 -4.9541 2.2147 5.1639 1.3469 7.8739" Properties=species:S:1:pos:R:3 pbc="T T T"
O -1.3321 1.0856 8.5779
O 2.0149 2.9219 8.3704
O -0.4165 -1.1064 4.8882
O -3.9468 0.3958 4.6375
Li 0.7079 -0.8084 6.5588
O -1.7443 1.4447 5.3868
Cu 2.7590 1.9463 6.8647
O -0.4947 -2.2456 2.4797
O -2.6073 -2.1102 3.9212
O 1.8361 3.3080 5.6915
Mn -0.8441 -2.8651 4.2336
O -1.7485 0.0747 2.8978
Li 2.6042 0.6743 4.0075
Ti -2.3586 -1.5819 1.7612
O 3.5274 0.4291 8.0946
Li -2.0609 1.8573 2.1714
O 2.4250 -2.0437 9.0674
O -0.4793 3.9531 4.2988
Li -4.9364 0.1383 3.1443
Cu 0.2479 -0.4368 3.1633
Ti 0.1041 2.4496 5.3160
Mn -2.1846 -0.3730 4.6835
Cu 1.4197 4.4384 7.3145
O 0.8382 1.1268 6.7544
Mn 0.3266 2.0135 8.3764
O 1.0372 0.5383 9.5335
O 0.8478 1.4740 3.8506
O -0.3472 3.3258 7.1506
```

DOS(E_F) = 7.7 states/eV per cell
electronic total energy = -6.5518 eV per atom